Below is an optimized crystal structure of SrPCl2, with properties calculated at the PBEsol level.

Summary:
Crystal system: tetragonal
Distance to the lowest polymorph of the same formula (kJ per mole of atoms): 10.8
Calculated total energy (Ha/atom): -0.137
Space-group type: P4/mmm, No. 123
Density of states at the Fermi level (states/eV per cell): 0.64

POSCAR file:
```
SrPCl2
1.0
3.4301 0.0000 0.0000
0.0000 3.4301 0.0000
0.0000 0.0000 9.1767
Sr P Cl
1 1 2
Cartesian
0.0000 0.0000 0.0000 Sr
0.0000 0.0000 4.5883 P
1.7150 1.7150 1.6318 Cl
1.7150 1.7150 7.5449 Cl
```

---

Below is an optimized crystal structure of AlNi2Sb, with properties calculated at the PBEsol level.

Summary:
Crystal system: tetragonal
Distance to the lowest polymorph of the same formula (kJ per mole of atoms): 4.9
Calculated total energy (Ha/atom): -0.200
Space-group type: I4/mmm, No. 139
Density of states at the Fermi level (states/eV per cell): 1.29

POSCAR file:
```
AlNi2Sb
1.0
-2.0859 2.0859 3.1762
2.0859 -2.0859 3.1762
2.0859 2.0859 -3.1762
Al Ni Sb
1 2 1
Cartesian
0.0000 0.0000 0.0000 Al
2.0859 0.0000 1.5881 Ni
0.0000 2.0859 1.5881 Ni
0.0000 0.0000 3.1762 Sb
```

---

Below is an optimized crystal structure of TlCd2Br, with properties calculated at the PBEsol level.

Summary:
Crystal system: tetragonal
Distance to the lowest polymorph of the same formula (kJ per mole of atoms): 0.0
Calculated total energy (Ha/atom): -0.070
Space-group type: P4mm, No. 99
Density of states at the Fermi level (states/eV per cell): 1.10

POSCAR file:
```
TlCd2Br
1.0
3.6975 0.0000 0.0000
0.0000 3.6975 0.0000
0.0000 0.0000 7.4598
Tl Cd Br
1 2 1
Cartesian
0.0000 0.0000 0.0000 Tl
0.0000 0.0000 4.0408 Cd
1.8487 1.8487 5.6104 Cd
1.8487 1.8487 2.3110 Br
```

---

Below is an optimized crystal structure of Ba4YRe, with properties calculated at the PBEsol level.

Summary:
Crystal system: cubic
Calculated total energy (Ha/atom): -0.126
DFT formation energy (eV per atom): 1.35
Space-group type: F-43m, No. 216
Density of states at the Fermi level (states/eV per cell): 9.97

POSCAR file:
```
Ba4YRe
1.0
0.0000 4.7684 4.7684
4.7684 0.0000 4.7684
4.7684 4.7684 0.0000
Ba Y Re
4 1 1
Cartesian
1.1821 1.1821 1.1821 Ba
3.5864 3.5864 1.1821 Ba
3.5864 1.1821 3.5864 Ba
1.1821 3.5864 3.5864 Ba
4.7684 4.7684 4.7684 Y
7.1527 7.1527 7.1527 Re
```

---

Repeat the third record exactly.
Below is an optimized crystal structure of TlCd2Br, with properties calculated at the PBEsol level.

Summary:
Crystal system: tetragonal
Distance to the lowest polymorph of the same formula (kJ per mole of atoms): 0.0
Calculated total energy (Ha/atom): -0.070
Space-group type: P4mm, No. 99
Density of states at the Fermi level (states/eV per cell): 1.10

POSCAR file:
```
TlCd2Br
1.0
3.6975 0.0000 0.0000
0.0000 3.6975 0.0000
0.0000 0.0000 7.4598
Tl Cd Br
1 2 1
Cartesian
0.0000 0.0000 0.0000 Tl
0.0000 0.0000 4.0408 Cd
1.8487 1.8487 5.6104 Cd
1.8487 1.8487 2.3110 Br
```

---

Q: Among the records above, which one has the highest density of states at the Fermi level?
A: Ba4YRe

---

Q: The highest calculated total energy belongs to which entry?
A: TlCd2Br

---

Q: What is the density of states at the Fermi level in the first record?
A: 0.64 states/eV per cell